Sr2LiFe, relaxed, DFT GGA-PBE; V = 122.31 Å³/f.u.; Fermi-level density of states = 18.239 states/eV/cell; energy of formation from the pure elements = 0.865 eV/atom; offset from the most stable computed form = 439 meV/atom
1.0
8.382 0.000 0.000
0.000 8.382 0.000
4.191 4.191 3.481
Sr Fe Li
4 2 2
Direct
0.665 0.125 0.250
0.085 0.625 0.250
0.375 0.335 0.750
0.875 0.915 0.750
0.000 0.000 0.000
0.750 0.250 0.500
0.500 0.500 0.000
0.250 0.750 0.500

=====

Sr2LiFe, relaxed, DFT GGA-PBE; V = 123.16 Å³/f.u.; Fermi-level density of states = 5.361 states/eV/cell; energy of formation from the pure elements = 0.453 eV/atom; offset from the most stable computed form = 27 meV/atom
1.0
-1.881 -4.432 2.830
0.663 -0.262 5.539
-4.425 0.511 3.369
Sr Fe Li
2 1 1
Direct
0.250 0.250 0.250
0.750 0.750 0.750
0.500 0.500 0.500
0.000 0.000 0.000

=====

SrLiFe2, relaxed, DFT GGA-PBE; V = 71.92 Å³/f.u.; Fermi-level density of states = 4.804 states/eV/cell; energy of formation from the pure elements = 0.814 eV/atom
1.0
-4.035 2.966 -0.290
1.399 -1.359 5.257
1.137 2.567 0.931
Fe Li Sr
2 1 1
Direct
0.000 0.000 0.000
0.500 0.000 0.500
0.000 0.500 0.500
0.500 0.500 0.000

=====

Which of these has the highest Fermi-level density of states?
number 1